(1)
First-principles (GGA-PBE) data for Ac2CuSi after structural relaxation, as listed in Alexandria via LeMat-Bulk.

a b c (Å): 5.4102 5.4102 5.4102
angles (deg): 60.00 60.00 60.00
Fractional coordinates of all 4 atoms:
Ac1 0.7500 0.7500 0.7500
Ac2 0.2500 0.2500 0.2500
Si1 0.5000 0.5000 0.5000
Cu1 0.0000 0.0000 0.0000

Results
* symmetry: Fm-3m (225)
* formation energy from raw total energies: -0.2575 eV/atom
* mass density: 8.09 g/cm3

---

(2)
First-principles (GGA-PBE) data for CrCoPt after structural relaxation, as listed in Alexandria via LeMat-Bulk.

a b c (Å): 4.5912 4.5912 4.5912
angles (deg): 146.46 133.95 58.16
Each line ends with the local moment (μB).
Fractional coordinates of all 3 atoms:
Co1 0.9894 0.9894 0.0000  1.03
Cr1 0.3437 0.3437 0.0000  -1.11
Pt1 0.6670 0.6670 0.0000  0.07

Results
* symmetry: Imm2 (44)
* energy of formation from the pure elements: -0.094 eV/atom
* mass density: 13.31 g/cm3

---

(3)
First-principles (GGA-PBE) data for Hf2AlTc after structural relaxation, as listed in Alexandria via LeMat-Bulk.

a b c (Å): 7.5565 7.5565 6.0270
angles (deg): 51.18 51.18 90.00
Fractional coordinates of all 8 atoms:
Al1 0.5000 0.5000 0.0000
Al2 0.2500 0.7500 0.5000
Hf1 0.3750 0.3355 0.7500
Hf2 0.0855 0.6250 0.2500
Hf3 0.8750 0.9145 0.7500
Hf4 0.6645 0.1250 0.2500
Tc1 0.0000 0.0000 0.0000
Tc2 0.7500 0.2500 0.5000

Results
* symmetry: I-42d (122)
* energy of formation from the pure elements: 0.219 eV/atom
* mass density: 10.05 g/cm3

---

(4)
First-principles (GGA-PBE) data for ZnHgAs after structural relaxation, as listed in Alexandria via LeMat-Bulk.

a b c (Å): 4.1789 4.1789 4.3516
angles (deg): 90.00 90.00 120.00
Fractional coordinates of all 3 atoms:
Zn1 0.6667 0.3333 0.7498
Hg1 0.3333 0.6667 0.3402
As1 0.0000 0.0000 0.9100

Results
* symmetry: P3m1 (156)
* energy of formation from the pure elements: 0.109 eV/atom
* mass density: 8.60 g/cm3

---

(5)
First-principles (GGA-PBE) data for HfSeO after structural relaxation, as listed in Alexandria via LeMat-Bulk.

a b c (Å): 3.4728 3.4728 5.7878
angles (deg): 90.00 90.00 120.00
Fractional coordinates of all 3 atoms:
O1 0.0000 0.0000 0.1466
Hf1 0.6667 0.3333 0.2750
Se1 0.3333 0.6667 0.5784

Results
* symmetry: P3m1 (156)
* formation energy from raw total energies: -2.2407 eV/atom
* mass density: 7.51 g/cm3

---

(6)
First-principles (GGA-PBE) data for Tb2Zn2SiNi5 after structural relaxation, as listed in Alexandria via LeMat-Bulk.

a b c (Å): 3.1910 9.6767 9.6767
angles (deg): 90.00 90.00 90.00
Fractional coordinates of all 20 atoms:
Ni1 0.5000 0.0000 0.5000
Ni2 0.5000 0.1854 0.0491
Ni3 0.5000 0.3146 0.5491
Ni4 0.5000 0.4509 0.3146
Ni5 0.5000 0.0491 0.8146
Ni6 0.5000 0.8146 0.9509
Ni7 0.5000 0.9509 0.1854
Ni8 0.5000 0.5491 0.6854
Ni9 0.5000 0.6854 0.4509
Ni10 0.5000 0.5000 0.0000
Tb1 0.0000 0.3259 0.8259
Tb2 0.0000 0.8259 0.6741
Tb3 0.0000 0.6741 0.1741
Tb4 0.0000 0.1741 0.3259
Zn1 0.0000 0.3727 0.1273
Zn2 0.0000 0.1273 0.6273
Zn3 0.0000 0.6273 0.8727
Zn4 0.0000 0.8727 0.3727
Si1 0.0000 0.5000 0.5000
Si2 0.0000 0.0000 0.0000

Results
* symmetry: P4/mbm (127)
* formation energy from raw total energies: -0.3046 eV/atom
* mass density: 8.56 g/cm3